An optimized crystal structure of La6Pm8Tm. Source: Alexandria via LeMat-Bulk, functional GGA-PBE.

Properties
Space-group type: No. 148
E: -70.530 eV per formula unit
Formation enthalpy at 0 K: 0.101 eV/atom

```
La6Pm8Tm
1.0
9.3231 0.0000 0.0000
4.6615 8.0740 0.0000
4.6615 2.6913 7.0910
Tm Pm La
1 8 6
Cartesian
0.0000 0.0000 0.0000
9.5558 8.7243 4.1336
12.3334 6.8519 2.9574
12.1006 3.5103 4.1336
6.5455 7.2551 2.9574
9.3231 5.3827 5.1939
9.3231 5.3827 1.8971
9.0903 2.0410 2.9574
6.3127 3.9134 4.1336
5.3249 4.6893 0.9292
6.0601 1.1179 0.9292
12.5860 9.6475 6.1617
16.0465 8.4985 6.1617
13.3212 6.0761 6.1617
2.5996 2.2669 0.9292
```

---

An optimized crystal structure of LaPm3Tm4. Source: Alexandria via LeMat-Bulk, functional GGA-PBE.

Properties
Space-group type: No. 31
E: -36.836 eV per formula unit
Formation enthalpy at 0 K: 0.029 eV/atom

```
LaPm3Tm4
1.0
6.2768 0.0000 0.0000
0.0000 7.2999 0.0000
0.0000 0.0000 11.4702
Pm La Tm
6 2 8
Cartesian
0.9262 2.6996 5.7351
3.0324 2.7013 2.8520
4.0645 4.6003 0.0000
6.1708 4.5986 2.8831
3.0324 2.7013 8.6182
6.1708 4.5986 8.5871
4.0410 4.5622 5.7351
0.9026 2.7376 0.0000
3.0194 6.4234 2.8586
6.1577 0.8765 8.5937
4.0729 0.8765 5.7351
0.9345 6.4234 0.0000
6.1577 0.8765 2.8765
4.0592 0.8660 0.0000
0.9208 6.4339 5.7351
3.0194 6.4234 8.6116
```

---

An optimized crystal structure of La6Pm5Tm. Source: Alexandria via LeMat-Bulk, functional GGA-PBE.

Properties
Space-group type: No. 12
E: -57.594 eV per formula unit
Formation enthalpy at 0 K: 0.016 eV/atom

```
La6Pm5Tm
1.0
11.4861 -0.6383 0.0000
2.6480 4.5211 0.0000
1.3240 2.2605 7.8963
Pm La Tm
5 6 1
Cartesian
8.3911 4.2019 2.6370
2.6480 4.5211 5.2821
7.0671 1.9414 0.0000
1.3240 2.2605 2.6141
7.0671 1.9414 5.2592
9.2877 0.6440 2.6215
10.6221 2.9004 0.0000
6.1705 5.4993 5.2747
10.6117 2.9045 5.2747
4.8464 3.2388 2.6215
3.5121 0.9823 0.0000
0.0000 0.0000 0.0000
```